{"formula": "RbNbS6I", "functional": "GGA-PBE", "state": "optimized geometry", "n_ef_per_ev_cell": 1.72, "e_tot_ev_per_atom": -4.638, "e_form_raw_ev_per_fu": -4.4, "lattice": [[-6.9328, -2.4556, 4.9432], [-5.9183, -5.6908, -1.5862], [1.6320, -5.4522, 2.0302]], "species": ["Rb", "Nb", "S", "S", "S", "S", "S", "S", "I"], "fractional_positions": [[0.1253, 0.8371, 0.9308], [0.5972, 0.7244, 0.5091], [0.8700, 0.5582, 0.2201], [0.3984, 0.0237, 0.6401], [0.7067, 0.3766, 0.8163], [0.8688, 0.4772, 0.7979], [0.3449, 0.7346, 0.4080], [0.6980, 0.8881, 0.1540], [0.3904, 0.3802, 0.5236]]}